! PBE-GGA Pm3TlTeCl, optimized geometry; values from VASP
! * symmetry: P2_1/m
! * crystal system: monoclinic
! * total magnetization: 0.0000 μB per atom
! * formation energy without anion corrections: -1.056 eV/atom
&SYSTEM
  ibrav = 0, nat = 12, ntyp = 4
/
ATOMIC_SPECIES
Pm 145.00 Pm.upf
Tl 204.38 Tl.upf
Te 127.60 Te.upf
Cl 35.45 Cl.upf
CELL_PARAMETERS angstrom
-1.616 -3.264 -2.079
8.236 -1.708 -3.722
-3.933 -4.595 10.273
ATOMIC_POSITIONS crystal
Pm 0.750 0.940 0.093
Pm 0.250 0.060 0.907
Pm 0.250 0.683 0.521
Pm 0.750 0.317 0.479
Pm 0.750 0.507 0.172
Pm 0.250 0.493 0.828
Tl 0.250 0.292 0.244
Tl 0.750 0.708 0.756
Te 0.250 0.747 0.154
Te 0.750 0.253 0.846
Cl 0.250 0.184 0.548
Cl 0.750 0.816 0.452

! PBE-GGA Pm4ZnTe2Cl, optimized geometry; values from VASP
! * symmetry: P2/m
! * crystal system: monoclinic
! * total magnetization: 0.0000 μB per atom
! * formation energy without anion corrections: -1.129 eV/atom
&SYSTEM
  ibrav = 0, nat = 8, ntyp = 4
/
ATOMIC_SPECIES
Pm 145.00 Pm.upf
Zn 65.41 Zn.upf
Te 127.60 Te.upf
Cl 35.45 Cl.upf
CELL_PARAMETERS angstrom
-2.148 -2.499 2.649
2.601 -6.023 -3.574
4.891 1.752 5.619
ATOMIC_POSITIONS crystal
Pm 0.500 0.252 0.230
Pm 0.500 0.748 0.770
Pm 0.000 0.263 0.769
Pm 0.000 0.737 0.231
Zn 0.500 0.500 0.000
Te 0.500 0.000 0.500
Te 0.000 0.500 0.500
Cl 0.000 0.000 0.000

! PBE-GGA Pm2ThCl, optimized geometry; values from VASP
! * symmetry: R-3m
! * crystal system: trigonal
! * total magnetization: 0.0000 μB per atom
! * formation energy without anion corrections: -0.700 eV/atom
&SYSTEM
  ibrav = 0, nat = 4, ntyp = 3
/
ATOMIC_SPECIES
Cl 35.45 Cl.upf
Th 232.04 Th.upf
Pm 145.00 Pm.upf
CELL_PARAMETERS angstrom
-0.899 -3.480 0.900
1.463 -1.569 3.021
-7.433 1.693 6.750
ATOMIC_POSITIONS crystal
Cl 0.000 0.000 0.000
Th 0.500 0.500 0.500
Pm 0.740 0.740 0.779
Pm 0.260 0.260 0.221

! PBE-GGA Pm2ThCl, optimized geometry; values from VASP
! * symmetry: P4/mmm
! * crystal system: tetragonal
! * total magnetization: 0.0000 μB per atom
! * formation energy without anion corrections: -0.549 eV/atom
&SYSTEM
  ibrav = 0, nat = 4, ntyp = 3
/
ATOMIC_SPECIES
Cl 35.45 Cl.upf
Th 232.04 Th.upf
Pm 145.00 Pm.upf
CELL_PARAMETERS angstrom
3.586 0.000 0.000
0.000 3.586 0.000
0.000 0.000 9.429
ATOMIC_POSITIONS crystal
Cl 0.500 0.500 0.500
Th 0.500 0.500 0.000
Pm 0.000 0.000 0.738
Pm 0.000 0.000 0.262

! PBE-GGA PmTiCl, optimized geometry; values from VASP
! * symmetry: C2/m
! * crystal system: monoclinic
! * total magnetization: 0.0000 μB per atom
! * formation energy without anion corrections: -0.708 eV/atom
&SYSTEM
  ibrav = 0, nat = 6, ntyp = 3
/
ATOMIC_SPECIES
Ti 47.87 Ti.upf
Pm 145.00 Pm.upf
Cl 35.45 Cl.upf
CELL_PARAMETERS angstrom
-2.073 -4.722 -1.119
0.272 -5.120 1.251
-9.329 -18.541 6.124
ATOMIC_POSITIONS crystal
Ti 0.820 0.820 0.112
Ti 0.933 0.933 0.195
Pm 0.722 0.722 0.431
Pm 0.031 0.031 0.877
Cl 0.250 0.250 0.531
Cl 0.504 0.504 0.776

! PBE-GGA Pm2TlCl, optimized geometry; values from VASP
! * symmetry: P4/mmm
! * crystal system: tetragonal
! * total magnetization: 0.0000 μB per atom
! * formation energy without anion corrections: -0.786 eV/atom
&SYSTEM
  ibrav = 0, nat = 4, ntyp = 3
/
ATOMIC_SPECIES
Tl 204.38 Tl.upf
Cl 35.45 Cl.upf
Pm 145.00 Pm.upf
CELL_PARAMETERS angstrom
3.540 0.000 0.000
0.000 3.540 0.000
0.000 0.000 8.321
ATOMIC_POSITIONS crystal
Tl 0.500 0.500 0.500
Cl 0.500 0.500 0.000
Pm 0.000 0.000 0.756
Pm 0.000 0.000 0.244

! PBE-GGA Pm2TlCl8, optimized geometry; values from VASP
! * symmetry: C2/m
! * crystal system: monoclinic
! * total magnetization: 0.0000 μB per atom
! * formation energy without anion corrections: -1.829 eV/atom
&SYSTEM
  ibrav = 0, nat = 11, ntyp = 3
/
ATOMIC_SPECIES
Pm 145.00 Pm.upf
Tl 204.38 Tl.upf
Cl 35.45 Cl.upf
CELL_PARAMETERS angstrom
-2.194 4.703 -1.131
-3.000 -3.074 -6.898
-4.754 -0.657 6.557
ATOMIC_POSITIONS crystal
Pm 0.000 0.302 0.698
Pm 0.000 0.698 0.302
Tl 0.500 0.000 0.000
Cl 0.998 0.942 0.673
Cl 0.998 0.673 0.942
Cl 0.253 0.501 0.501
Cl 0.500 0.743 0.257
Cl 0.500 0.257 0.743
Cl 0.747 0.499 0.499
Cl 0.002 0.327 0.058
Cl 0.002 0.058 0.327

! PBE-GGA PmTl2Cl6, optimized geometry; values from VASP
! * symmetry: Immm
! * crystal system: orthorhombic
! * total magnetization: 0.0000 μB per atom
! * formation energy without anion corrections: -1.409 eV/atom
&SYSTEM
  ibrav = 0, nat = 9, ntyp = 3
/
ATOMIC_SPECIES
Pm 145.00 Pm.upf
Tl 204.38 Tl.upf
Cl 35.45 Cl.upf
CELL_PARAMETERS angstrom
-0.182 3.313 -3.654
-3.837 -4.562 -3.945
-4.315 3.455 6.678
ATOMIC_POSITIONS crystal
Pm 0.000 0.000 0.000
Tl 0.335 0.335 0.669
Tl 0.665 0.665 0.331
Cl 0.847 0.083 0.694
Cl 0.153 0.388 0.306
Cl 0.153 0.917 0.306
Cl 0.500 0.221 0.000
Cl 0.847 0.612 0.694
Cl 0.500 0.779 0.000

! PBE-GGA PmTl2Cl5, optimized geometry; values from VASP
! * symmetry: Pnma
! * crystal system: orthorhombic
! * total magnetization: 0.0000 μB per atom
! * formation energy without anion corrections: -1.689 eV/atom
&SYSTEM
  ibrav = 0, nat = 32, ntyp = 3
/
ATOMIC_SPECIES
Pm 145.00 Pm.upf
Tl 204.38 Tl.upf
Cl 35.45 Cl.upf
CELL_PARAMETERS angstrom
-4.651 3.079 6.111
-7.270 -2.225 -4.413
0.002 -11.752 5.923
ATOMIC_POSITIONS crystal
Pm 0.426 0.250 0.505
Pm 0.574 0.750 0.495
Pm 0.926 0.750 0.995
Pm 0.074 0.250 0.005
Tl 0.448 0.504 0.828
Tl 0.552 0.496 0.172
Tl 0.948 0.496 0.672
Tl 0.552 0.004 0.172
Tl 0.052 0.504 0.328
Tl 0.448 0.996 0.828
Tl 0.052 0.996 0.328
Tl 0.948 0.004 0.672
Cl 0.089 0.250 0.510
Cl 0.911 0.750 0.490
Cl 0.589 0.750 0.990
Cl 0.411 0.250 0.010
Cl 0.339 0.957 0.573
Cl 0.661 0.043 0.427
Cl 0.839 0.043 0.927
Cl 0.661 0.457 0.427
Cl 0.161 0.957 0.073
Cl 0.339 0.543 0.573
Cl 0.161 0.543 0.073
Cl 0.839 0.457 0.927
Cl 0.157 0.250 0.801
Cl 0.843 0.750 0.199
Cl 0.657 0.750 0.699
Cl 0.343 0.250 0.301
Cl 0.615 0.250 0.678
Cl 0.385 0.750 0.322
Cl 0.115 0.750 0.822
Cl 0.885 0.250 0.178

! PBE-GGA PmTlCl4, optimized geometry; values from VASP
! * symmetry: C2/m
! * crystal system: monoclinic
! * total magnetization: 0.0000 μB per atom
! * formation energy without anion corrections: -1.841 eV/atom
&SYSTEM
  ibrav = 0, nat = 12, ntyp = 3
/
ATOMIC_SPECIES
Pm 145.00 Pm.upf
Tl 204.38 Tl.upf
Cl 35.45 Cl.upf
CELL_PARAMETERS angstrom
-3.596 -0.297 -2.313
-6.465 -2.186 6.360
-5.523 9.708 3.368
ATOMIC_POSITIONS crystal
Pm 0.500 0.500 0.000
Pm 0.000 0.000 0.500
Tl 0.750 0.750 0.250
Tl 0.250 0.250 0.750
Cl 0.658 0.223 0.962
Cl 0.842 0.277 0.538
Cl 0.458 0.922 0.663
Cl 0.042 0.578 0.837
Cl 0.542 0.078 0.337
Cl 0.342 0.777 0.038
Cl 0.158 0.723 0.462
Cl 0.958 0.422 0.163

! PBE-GGA PmTl5Cl8, optimized geometry; values from VASP
! * symmetry: I-4
! * crystal system: tetragonal
! * total magnetization: 0.0000 μB per atom
! * formation energy without anion corrections: -1.373 eV/atom
&SYSTEM
  ibrav = 0, nat = 14, ntyp = 3
/
ATOMIC_SPECIES
Pm 145.00 Pm.upf
Tl 204.38 Tl.upf
Cl 35.45 Cl.upf
CELL_PARAMETERS angstrom
7.737 0.298 -2.691
-3.828 6.731 -2.691
-0.166 -0.298 8.190
ATOMIC_POSITIONS crystal
Pm 0.250 0.750 0.500
Tl 0.874 0.254 0.862
Tl 0.746 0.608 0.621
Tl 0.392 0.012 0.138
Tl 0.500 0.500 0.000
Tl 0.988 0.126 0.379
Cl 0.038 0.748 0.143
Cl 0.252 0.395 0.290
Cl 0.566 0.836 0.395
Cl 0.164 0.559 0.730
Cl 0.829 0.434 0.270
Cl 0.105 0.962 0.710
Cl 0.605 0.895 0.857
Cl 0.441 0.171 0.605

! PBE-GGA Pm2TlCl8, optimized geometry; values from VASP
! * symmetry: C2/m
! * crystal system: monoclinic
! * total magnetization: 0.0000 μB per atom
! * formation energy without anion corrections: -1.803 eV/atom
&SYSTEM
  ibrav = 0, nat = 11, ntyp = 3
/
ATOMIC_SPECIES
Pm 145.00 Pm.upf
Tl 204.38 Tl.upf
Cl 35.45 Cl.upf
CELL_PARAMETERS angstrom
-5.333 3.302 -3.490
-0.370 -4.091 -5.833
-5.353 -4.508 1.386
ATOMIC_POSITIONS crystal
Pm 0.449 0.318 0.318
Pm 0.551 0.682 0.682
Tl 0.000 0.000 0.000
Cl 0.326 0.668 0.050
Cl 0.674 0.950 0.332
Cl 0.155 0.201 0.201
Cl 0.845 0.799 0.799
Cl 0.326 0.050 0.668
Cl 0.674 0.332 0.950
Cl 0.741 0.440 0.440
Cl 0.259 0.560 0.560

! PBE-GGA PmTlCl4, optimized geometry; values from VASP
! * symmetry: C2/c
! * crystal system: monoclinic
! * total magnetization: 0.0000 μB per atom
! * formation energy without anion corrections: -1.853 eV/atom
&SYSTEM
  ibrav = 0, nat = 12, ntyp = 3
/
ATOMIC_SPECIES
Pm 145.00 Pm.upf
Tl 204.38 Tl.upf
Cl 35.45 Cl.upf
CELL_PARAMETERS angstrom
6.833 0.000 0.000
0.000 7.471 0.387
-3.417 -2.652 7.983
ATOMIC_POSITIONS crystal
Pm 0.500 0.000 0.500
Pm 0.000 0.500 0.500
Tl 0.739 0.750 0.000
Tl 0.261 0.250 0.000
Cl 0.506 0.039 0.803
Cl 0.703 0.461 0.197
Cl 0.494 0.961 0.197
Cl 0.297 0.539 0.803
Cl 0.877 0.842 0.611
Cl 0.266 0.658 0.389
Cl 0.123 0.158 0.389
Cl 0.734 0.342 0.611

! PBE-GGA Pm2TlCl, optimized geometry; values from VASP
! * symmetry: R3m
! * crystal system: trigonal
! * total magnetization: 0.0000 μB per atom
! * formation energy without anion corrections: -0.841 eV/atom
&SYSTEM
  ibrav = 0, nat = 4, ntyp = 3
/
ATOMIC_SPECIES
Pm 145.00 Pm.upf
Tl 204.38 Tl.upf
Cl 35.45 Cl.upf
CELL_PARAMETERS angstrom
3.702 0.000 0.000
1.851 3.206 0.000
1.851 1.069 9.275
ATOMIC_POSITIONS crystal
Pm 0.090 0.090 0.730
Pm 0.243 0.243 0.270
Tl 0.667 0.667 0.000
Cl 0.500 0.500 0.500

! PBE-GGA Pm3TlCl3, optimized geometry; values from VASP
! * symmetry: C2/m
! * crystal system: monoclinic
! * total magnetization: 0.0836 μB per atom
! * formation energy without anion corrections: -1.356 eV/atom
&SYSTEM
  ibrav = 0, nat = 14, ntyp = 3
/
ATOMIC_SPECIES
Pm 145.00 Pm.upf
Tl 204.38 Tl.upf
Cl 35.45 Cl.upf
CELL_PARAMETERS angstrom
3.761 0.000 0.699
1.829 8.272 0.628
-0.399 -0.589 12.610
ATOMIC_POSITIONS crystal
Pm 0.097 0.277 0.528
Pm 0.903 0.723 0.472
Pm 0.293 0.182 0.232
Pm 0.707 0.818 0.768
Pm 0.885 0.385 0.846
Pm 0.115 0.615 0.154
Tl 0.398 0.542 0.663
Tl 0.602 0.458 0.337
Cl 0.320 0.963 0.397
Cl 0.680 0.037 0.603
Cl 0.326 0.325 0.023
Cl 0.674 0.675 0.977
Cl 0.947 0.956 0.150
Cl 0.053 0.044 0.850

! PBE-GGA Pm2TlCl2, optimized geometry; values from VASP
! * symmetry: R-3m
! * crystal system: trigonal
! * total magnetization: 0.0000 μB per atom
! * formation energy without anion corrections: -1.347 eV/atom
&SYSTEM
  ibrav = 0, nat = 5, ntyp = 3
/
ATOMIC_SPECIES
Pm 145.00 Pm.upf
Tl 204.38 Tl.upf
Cl 35.45 Cl.upf
CELL_PARAMETERS angstrom
0.425 3.201 2.491
2.986 0.041 2.777
7.883 5.885 -5.569
ATOMIC_POSITIONS crystal
Pm 0.602 0.602 0.194
Pm 0.398 0.398 0.806
Tl 0.000 0.000 0.000
Cl 0.220 0.220 0.341
Cl 0.780 0.780 0.659

! PBE-GGA PmTl2Cl5, optimized geometry; values from VASP
! * symmetry: Cm
! * crystal system: monoclinic
! * total magnetization: 0.0000 μB per atom
! * formation energy without anion corrections: -1.600 eV/atom
&SYSTEM
  ibrav = 0, nat = 8, ntyp = 3
/
ATOMIC_SPECIES
Pm 145.00 Pm.upf
Tl 204.38 Tl.upf
Cl 35.45 Cl.upf
CELL_PARAMETERS angstrom
7.806 0.000 0.000
0.000 7.754 -0.058
-3.903 -3.910 6.112
ATOMIC_POSITIONS crystal
Pm 0.982 0.990 0.963
Tl 0.170 0.677 0.340
Tl 0.665 0.117 0.330
Cl 0.838 0.294 0.139
Cl 0.302 0.294 0.139
Cl 0.795 0.784 0.049
Cl 0.254 0.784 0.049
Cl 0.772 0.836 0.545

! PBE-GGA Pm2TlCl7, optimized geometry; values from VASP
! * symmetry: Cmmm
! * crystal system: orthorhombic
! * total magnetization: 0.0000 μB per atom
! * formation energy without anion corrections: -2.017 eV/atom
&SYSTEM
  ibrav = 0, nat = 10, ntyp = 3
/
ATOMIC_SPECIES
Pm 145.00 Pm.upf
Tl 204.38 Tl.upf
Cl 35.45 Cl.upf
CELL_PARAMETERS angstrom
-3.362 -4.256 -0.245
6.436 -5.053 -0.533
-2.639 1.647 7.587
ATOMIC_POSITIONS crystal
Pm 0.500 0.698 0.302
Pm 0.500 0.302 0.698
Tl 0.000 0.000 0.000
Cl 0.000 0.712 0.288
Cl 0.000 0.288 0.712
Cl 0.500 0.050 0.326
Cl 0.500 0.950 0.674
Cl 0.500 0.326 0.050
Cl 0.500 0.674 0.950
Cl 0.500 0.500 0.500

! PBE-GGA PmTl3Cl6, optimized geometry; values from VASP
! * symmetry: P2_1/c
! * crystal system: monoclinic
! * total magnetization: 0.0000 μB per atom
! * formation energy without anion corrections: -1.548 eV/atom
&SYSTEM
  ibrav = 0, nat = 20, ntyp = 3
/
ATOMIC_SPECIES
Pm 145.00 Pm.upf
Tl 204.38 Tl.upf
Cl 35.45 Cl.upf
CELL_PARAMETERS angstrom
-0.754 7.361 1.636
0.040 -1.791 8.075
10.875 1.618 0.305
ATOMIC_POSITIONS crystal
Pm 0.500 0.500 0.500
Pm 0.000 0.000 0.000
Tl 0.525 0.932 0.766
Tl 0.500 0.500 0.000
Tl 0.475 0.068 0.234
Tl 0.025 0.568 0.266
Tl 0.000 0.000 0.500
Tl 0.975 0.432 0.734
Cl 0.700 0.168 0.956
Cl 0.663 0.227 0.580
Cl 0.632 0.436 0.269
Cl 0.368 0.564 0.731
Cl 0.337 0.773 0.420
Cl 0.300 0.832 0.044
Cl 0.200 0.332 0.456
Cl 0.163 0.273 0.080
Cl 0.132 0.064 0.769
Cl 0.868 0.936 0.231
Cl 0.837 0.727 0.920
Cl 0.800 0.668 0.544

! PBE-GGA Pm2TlCl, optimized geometry; values from VASP
! * symmetry: R-3m
! * crystal system: trigonal
! * total magnetization: 0.0000 μB per atom
! * formation energy without anion corrections: -0.696 eV/atom
&SYSTEM
  ibrav = 0, nat = 4, ntyp = 3
/
ATOMIC_SPECIES
Tl 204.38 Tl.upf
Cl 35.45 Cl.upf
Pm 145.00 Pm.upf
CELL_PARAMETERS angstrom
4.775 0.000 0.000
2.388 4.135 0.000
2.388 1.378 8.421
ATOMIC_POSITIONS crystal
Tl 0.500 0.500 0.500
Cl 0.000 0.000 0.000
Pm 0.108 0.108 0.675
Pm 0.892 0.892 0.325

! PBE-GGA PmTl2Cl6, optimized geometry; values from VASP
! * symmetry: Amm2
! * crystal system: orthorhombic
! * total magnetization: 0.0000 μB per atom
! * formation energy without anion corrections: -1.411 eV/atom
&SYSTEM
  ibrav = 0, nat = 9, ntyp = 3
/
ATOMIC_SPECIES
Pm 145.00 Pm.upf
Tl 204.38 Tl.upf
Cl 35.45 Cl.upf
CELL_PARAMETERS angstrom
4.247 0.000 0.000
0.000 7.964 0.000
0.000 -3.982 6.941
ATOMIC_POSITIONS crystal
Pm 0.500 0.999 0.000
Tl 0.000 0.332 0.667
Tl 0.000 0.665 0.333
Cl 0.500 0.620 0.000
Cl 0.500 0.382 0.380
Cl 0.500 0.001 0.620
Cl 0.000 0.240 0.000
Cl 0.000 0.760 0.760
Cl 0.000 0.000 0.240

! PBE-GGA PmTlZnCl6, optimized geometry; values from VASP
! * symmetry: P-31c
! * crystal system: trigonal
! * total magnetization: 0.0000 μB per atom
! * formation energy without anion corrections: -1.597 eV/atom
&SYSTEM
  ibrav = 0, nat = 18, ntyp = 4
/
ATOMIC_SPECIES
Pm 145.00 Pm.upf
Tl 204.38 Tl.upf
Zn 65.41 Zn.upf
Cl 35.45 Cl.upf
CELL_PARAMETERS angstrom
-3.018 -5.553 -2.662
5.115 3.075 -3.378
9.272 -8.194 6.581
ATOMIC_POSITIONS crystal
Pm 0.667 0.333 0.250
Pm 0.333 0.667 0.750
Tl 0.000 0.000 0.000
Tl 0.000 0.000 0.500
Zn 0.333 0.667 0.250
Zn 0.667 0.333 0.750
Cl 0.615 0.640 0.145
Cl 0.025 0.385 0.145
Cl 0.385 0.025 0.645
Cl 0.975 0.615 0.855
Cl 0.360 0.385 0.355
Cl 0.025 0.640 0.355
Cl 0.640 0.025 0.855
Cl 0.615 0.975 0.355
Cl 0.975 0.360 0.645
Cl 0.360 0.975 0.145
Cl 0.640 0.615 0.645
Cl 0.385 0.360 0.855